Entry 1:
The following is a GGA-PBEsol calculation of a relaxed MgBeB3 crystal, from the Alexandria database.

Calculated values
Fermi-level density of states ... 0.413 states/eV per atom
Electronic total energy ... -2.74 eV/atom
ΔE_f ... 13.09 eV/f.u.

Cell lengths 4.1928, 4.1928, 4.1928 Å; angles 90.00, 90.00, 90.00 degrees
Atoms (fractional coordinates):
B1 0.0000 0.5000 0.0000
B2 0.0000 0.0000 0.5000
B3 0.5000 0.0000 0.0000
Mg1 0.0000 0.0000 0.0000
Be1 0.5000 0.5000 0.5000

Entry 2:
The following is a GGA-PBEsol calculation of a relaxed YCoSe2 crystal, from the Alexandria database.

Calculated values
Fermi-level density of states ... 1.164 states/eV per atom
Electronic total energy ... -6.14 eV/atom
Formation energy without anion corrections ... -577 meV per atom

Cell lengths 3.8525, 3.8525, 5.7576 Å; angles 109.55, 109.55, 90.00 degrees
Each line ends with the local moment (μB).
Atoms (fractional coordinates):
Co1 0.2500 0.7500 0.5000  1.75
Y1 0.5000 0.5000 0.0000  -0.05
Se1 0.7500 0.2500 0.5000  0.09
Se2 0.0000 0.0000 0.0000  0.10

Entry 3:
The following is a GGA-PBEsol calculation of a relaxed TaMo crystal, from the Alexandria database.

Calculated values
Fermi-level density of states ... 0.691 states/eV per atom
Electronic total energy ... -12.28 eV/atom
ΔE_f ... -0.25 eV/f.u.

Cell lengths 4.5142, 5.3075, 5.5372 Å; angles 100.39, 90.00, 90.00 degrees
Atoms (fractional coordinates):
Mo1 0.5000 0.5000 0.5000
Mo2 0.0000 0.2466 0.1194
Mo3 0.0000 0.7534 0.8806
Mo4 0.5000 0.5000 0.0000
Ta1 0.0000 0.2600 0.6238
Ta2 0.5000 0.0068 0.2501
Ta3 0.0000 0.7400 0.3762
Ta4 0.5000 0.9932 0.7499

Entry 4:
The following is a GGA-PBEsol calculation of a relaxed GaAgSnSe4 crystal, from the Alexandria database.

Calculated values
Electronic total energy ... -4.13 eV/atom
Formation energy without anion corrections ... -372 meV per atom

Cell lengths 5.7847, 6.8108, 5.7847 Å; angles 64.87, 90.00, 115.13 degrees
Atoms (fractional coordinates):
Se1 0.1299 0.7888 0.3467
Se2 0.8645 0.2112 0.1299
Se3 0.3467 0.2112 0.6590
Se4 0.6590 0.7888 0.8645
Ag1 0.2500 0.5000 0.2500
Ga1 0.5000 0.0000 0.5000
Sn1 0.7500 0.5000 0.7500

Entry 5:
The following is a GGA-PBEsol calculation of a relaxed Ta6S crystal, from the Alexandria database.

Calculated values
Fermi-level density of states ... 0.642 states/eV per atom
Electronic total energy ... -11.69 eV/atom
Formation energy without anion corrections ... -309 meV per atom

Cell lengths 5.2399, 7.5194, 13.2608 Å; angles 85.66, 78.60, 69.61 degrees
Atoms (fractional coordinates):
Ta1 0.7862 0.1061 0.6826
Ta2 0.1822 0.1028 0.8262
Ta3 0.9965 0.7763 0.5452
Ta4 0.1594 0.7437 0.7517
Ta5 0.8406 0.2563 0.2483
Ta6 0.0035 0.2237 0.4548
Ta7 0.3181 0.7237 0.9548
Ta8 0.2138 0.8939 0.3174
Ta9 0.5749 0.3939 0.8174
Ta10 0.6819 0.2763 0.0452
Ta11 0.7259 0.9686 0.9061
Ta12 0.3452 0.2437 0.2517
Ta13 0.8178 0.8972 0.1738
Ta14 0.6548 0.7563 0.7483
Ta15 0.3994 0.4686 0.4061
Ta16 0.6414 0.0249 0.3968
Ta17 0.0631 0.4751 0.1032
Ta18 0.4251 0.6061 0.1826
Ta19 0.6006 0.5314 0.5939
Ta20 0.8888 0.6028 0.3262
Ta21 0.1112 0.3972 0.6738
Ta22 0.9369 0.5249 0.8968
Ta23 0.3586 0.9751 0.6032
Ta24 0.2741 0.0314 0.0939
S1 0.4761 0.7616 0.4568
S2 0.6946 0.7384 0.0432
S3 0.5239 0.2384 0.5432
S4 0.3054 0.2616 0.9568

Entry 6:
The following is a GGA-PBEsol calculation of a relaxed Zn2MoCl crystal, from the Alexandria database.

Calculated values
Fermi-level density of states ... 0.677 states/eV per atom
Electronic total energy ... -3.90 eV/atom
Formation energy without anion corrections ... 338 meV per atom
Polymorph energy (0 for the lowest one) ... 0.112 eV per atom

Cell lengths 2.7356, 4.2600, 5.4208 Å; angles 96.28, 104.62, 90.00 degrees
Atoms (fractional coordinates):
Zn1 0.2697 0.2615 0.5394
Zn2 0.7303 0.7385 0.4606
Cl1 0.5000 0.0000 0.0000
Mo1 0.0000 0.5000 0.0000

Entry 7:
The following is a GGA-PBEsol calculation of a relaxed MgAlSb2 crystal, from the Alexandria database.

Calculated values
Fermi-level density of states ... 0.377 states/eV per atom
Electronic total energy ... -3.83 eV/atom
Formation energy without anion corrections ... -94 meV per atom
Polymorph energy (0 for the lowest one) ... 0.000 eV per atom

Cell lengths 3.1808, 5.0946, 5.7578 Å; angles 90.00, 90.00, 90.00 degrees
Atoms (fractional coordinates):
Mg1 0.5000 0.5000 0.8732
Al1 0.0000 0.0000 0.3770
Sb1 0.5000 0.5000 0.3734
Sb2 0.0000 0.0000 0.8764

Entry 8:
The following is a GGA-PBEsol calculation of a relaxed ZrTa2Hg crystal, from the Alexandria database.

Calculated values
Fermi-level density of states ... 1.048 states/eV per atom
Electronic total energy ... -8.53 eV/atom
ΔE_f ... 0.62 eV/f.u.

Cell lengths 2.8491, 5.4655, 5.6848 Å; angles 116.54, 100.70, 97.76 degrees
Atoms (fractional coordinates):
Zr1 0.5000 0.0000 0.0000
Ta1 0.0000 0.0000 0.5000
Ta2 0.5000 0.5000 0.5000
Hg1 0.0000 0.5000 0.0000

What is the formula in the seventh record? MgAlSb2